Below is TaIn2Sn after structural relaxation, with properties calculated at the PBE-GGA level.

## Properties
- symmetry = R-3m
- uncorrected energy (eV per atom) = -4.810
- crystal system = trigonal
- energy relative to the elements (eV per atom) = 0.5231
- total magnetization (μB/f.u.) = 0.00

abc: 3.1212 3.1212 11.8770
angles: 82.45 82.45 60.00
Atoms (fractional coordinates):
Sn: 0.5000 0.5000 0.5000
Ta: 0.0000 0.0000 0.0000
In: 0.9183 0.9183 0.2451
In: 0.0817 0.0817 0.7549